Ce3Tl4Cd2 | PBE | optimized geometry

Output
V (Å³ per cell): 245.7
Space group: C2/m, No. 12
VASP energy (eV per cell): -30.84
DOS at the Fermi energy (states/eV/cell): 20.29
Formation energy from the elements (eV/atom): -0.193

Cell: 5.171 6.279 9.662 Å, 117.77 90.00 114.32°
Positions (direct):
Ce: 0.663 0.327 0.666
Ce: 0.000 0.000 0.000
Ce: 0.337 0.673 0.334
Tl: 0.063 0.127 0.392
Tl: 0.704 0.408 0.043
Tl: 0.937 0.873 0.608
Tl: 0.296 0.592 0.957
Cd: 0.384 0.768 0.716
Cd: 0.616 0.232 0.284



Ce2TlCd2 | PBE | optimized geometry

Output
V (Å³ per cell): 130.6
Energy relative to the lowest polymorph listed for this composition (meV/atom): 0
Space group: Cmmm, No. 65
VASP energy (eV per cell): -17.18
DOS at the Fermi energy (states/eV/cell): 13.11
Formation energy from the elements (eV/atom): -0.222

Cell: 3.299 5.014 8.284 Å, 107.61 90.00 90.00°
Positions (direct):
Cd: 0.000 0.797 0.594
Cd: 0.000 0.203 0.406
Tl: 0.000 0.000 0.000
Ce: 0.500 0.609 0.218
Ce: 0.500 0.391 0.782



Ce6Tl2Cd | PBE | optimized geometry

Output
V (Å³ per cell): 227.8
Space group: P6/mmm, No. 191
VASP energy (eV per cell): -42.04
DOS at the Fermi energy (states/eV/cell): 26.05
Formation energy from the elements (eV/atom): -0.087

Cell: 3.115 9.190 9.190 Å, 120.00 90.00 90.00°
Positions (direct):
Ce: 0.500 0.327 0.327
Ce: 0.500 0.327 0.000
Ce: 0.500 0.000 0.673
Ce: 0.500 0.673 0.673
Ce: 0.500 0.000 0.327
Ce: 0.500 0.673 0.000
Cd: 0.000 0.000 0.000
Tl: 0.000 0.667 0.333
Tl: 0.000 0.333 0.667



CeTlCd | PBE | optimized geometry

Output
V (Å³ per cell): 161.4
Space group: I4/mmm, No. 139
VASP energy (eV per cell): -18.29
DOS at the Fermi energy (states/eV/cell): 9.21
Formation energy from the elements (eV/atom): 0.023

Cell: 3.231 3.231 15.633 Å, 95.93 95.93 90.00°
Positions (direct):
Tl: 0.796 0.796 0.593
Tl: 0.204 0.204 0.407
Cd: 0.623 0.623 0.246
Cd: 0.377 0.377 0.754
Ce: 0.043 0.043 0.086
Ce: 0.957 0.957 0.914



Ce3Tl3Cd2 | PBE | optimized geometry

Output
V (Å³ per cell): 455.1
Space group: Cmcm, No. 63
VASP energy (eV per cell): -56.25
DOS at the Fermi energy (states/eV/cell): 40.84
Formation energy from the elements (eV/atom): -0.175

Cell: 4.915 6.314 15.921 Å, 90.00 90.00 112.91°
Positions (direct):
Tl: 0.612 0.223 0.046
Tl: 0.388 0.777 0.546
Tl: 0.621 0.243 0.750
Tl: 0.388 0.777 0.954
Tl: 0.379 0.757 0.250
Tl: 0.612 0.223 0.454
Ce: 0.917 0.834 0.392
Ce: 0.083 0.166 0.892
Ce: 0.662 0.325 0.250
Ce: 0.083 0.166 0.608
Ce: 0.917 0.834 0.108
Ce: 0.338 0.675 0.750
Cd: 0.217 0.434 0.397
Cd: 0.783 0.566 0.603
Cd: 0.217 0.434 0.103
Cd: 0.783 0.566 0.897



CeTlCd17 | PBE | optimized geometry

Output
V (Å³ per cell): 451.6
Space group: R3m, No. 160
VASP energy (eV per cell): -24.72
DOS at the Fermi energy (states/eV/cell): 12.49
Formation energy from the elements (eV/atom): -0.045

Cell: 7.735 7.735 7.735 Å, 82.42 82.42 82.42°
Positions (direct):
Cd: 0.000 0.299 0.697
Cd: 0.900 0.900 0.900
Cd: 0.506 0.992 0.992
Cd: 0.642 0.642 0.160
Cd: 0.299 0.000 0.697
Cd: 0.642 0.160 0.642
Cd: 0.992 0.506 0.992
Cd: 0.106 0.106 0.106
Cd: 0.697 0.299 0.000
Cd: 0.000 0.697 0.299
Cd: 0.697 0.000 0.299
Cd: 0.992 0.992 0.506
Cd: 0.358 0.839 0.358
Cd: 0.160 0.642 0.642
Cd: 0.299 0.697 0.000
Cd: 0.839 0.358 0.358
Cd: 0.358 0.358 0.839
Ce: 0.665 0.665 0.665
Tl: 0.347 0.347 0.347



Ce5Tl8Cd | PBE | optimized geometry

Output
V (Å³ per cell): 424.4
Space group: I-4, No. 82
VASP energy (eV per cell): -50.71
DOS at the Fermi energy (states/eV/cell): 41.08
Formation energy from the elements (eV/atom): -0.085

Cell: 8.201 8.201 8.201 Å, 108.69 111.04 108.69°
Positions (direct):
Ce: 0.500 0.000 0.500
Ce: 0.884 0.858 0.254
Ce: 0.746 0.630 0.604
Ce: 0.396 0.142 0.026
Ce: 0.974 0.370 0.116
Tl: 0.437 0.586 0.186
Tl: 0.975 0.102 0.721
Tl: 0.126 0.745 0.025
Tl: 0.814 0.251 0.400
Tl: 0.619 0.898 0.874
Tl: 0.600 0.414 0.851
Tl: 0.149 0.749 0.563
Tl: 0.279 0.255 0.381
Cd: 0.250 0.500 0.750



Ce2TlCd3 | PBE | optimized geometry

Output
V (Å³ per cell): 165.9
Energy relative to the lowest polymorph listed for this composition (meV/atom): 164
Space group: Imm2, No. 44
VASP energy (eV per cell): -17.40
DOS at the Fermi energy (states/eV/cell): 14.81
Formation energy from the elements (eV/atom): -0.071

Cell: 3.477 5.182 9.721 Å, 105.46 100.30 90.00°
Positions (direct):
Ce: 0.874 0.374 0.749
Ce: 0.126 0.126 0.252
Cd: 0.691 0.691 0.382
Cd: 0.538 0.538 0.077
Cd: 0.307 0.807 0.613
Tl: 0.464 0.964 0.928



Ce6TlCd2 | PBE | optimized geometry

Output
V (Å³ per cell): 223.3
Space group: P6/mmm, No. 191
VASP energy (eV per cell): -40.57
DOS at the Fermi energy (states/eV/cell): 25.11
Formation energy from the elements (eV/atom): -0.085

Cell: 3.044 9.204 9.204 Å, 120.00 90.00 90.00°
Positions (direct):
Cd: 0.000 0.667 0.333
Cd: 0.000 0.333 0.667
Ce: 0.500 0.658 0.000
Ce: 0.500 0.000 0.342
Ce: 0.500 0.000 0.658
Ce: 0.500 0.342 0.000
Ce: 0.500 0.658 0.658
Ce: 0.500 0.342 0.342
Tl: 0.000 0.000 0.000



Ce2TmTl2Cd2 | PBE | optimized geometry

Output
V (Å³ per cell): 182.8
Space group: R-3m, No. 166
VASP energy (eV per cell): -23.50
DOS at the Fermi energy (states/eV/cell): 12.23
Formation energy from the elements (eV/atom): -0.085

Cell: 4.863 4.863 9.359 Å, 74.94 74.94 60.00°
Positions (direct):
Ce: 0.145 0.145 0.564
Ce: 0.855 0.855 0.436
Cd: 0.421 0.421 0.736
Cd: 0.579 0.579 0.264
Tl: 0.277 0.277 0.170
Tl: 0.723 0.723 0.830
Tm: 0.000 0.000 0.000



CeTm2Tl2Cd2 | PBE | optimized geometry

Output
V (Å³ per cell): 190.2
Space group: R-3m, No. 166
VASP energy (eV per cell): -22.25
DOS at the Fermi energy (states/eV/cell): 10.17
Formation energy from the elements (eV/atom): -0.116

Cell: 5.053 5.053 9.081 Å, 73.85 73.85 60.00°
Positions (direct):
Cd: 0.566 0.566 0.303
Cd: 0.434 0.434 0.697
Tm: 0.866 0.866 0.402
Tm: 0.134 0.134 0.598
Tl: 0.267 0.267 0.198
Tl: 0.733 0.733 0.802
Ce: 0.000 0.000 0.000



CeY2Tl2Cd2 | PBE | optimized geometry

Output
V (Å³ per cell): 194.6
Space group: R-3m, No. 166
VASP energy (eV per cell): -26.35
DOS at the Fermi energy (states/eV/cell): 10.43
Formation energy from the elements (eV/atom): -0.132

Cell: 5.062 5.062 9.243 Å, 74.11 74.11 60.00°
Positions (direct):
Tl: 0.268 0.268 0.196
Tl: 0.732 0.732 0.804
Cd: 0.570 0.570 0.290
Cd: 0.430 0.430 0.710
Y: 0.867 0.867 0.398
Y: 0.133 0.133 0.602
Ce: 0.000 0.000 0.000



CeTlZnCd | PBE | optimized geometry

Output
V (Å³ per cell): 96.2
Space group: F-43m, No. 216
VASP energy (eV per cell): -11.18
DOS at the Fermi energy (states/eV/cell): 6.30
Formation energy from the elements (eV/atom): -0.173

Cell: 5.143 5.143 5.143 Å, 60.00 60.00 60.00°
Positions (direct):
Zn: 0.000 0.000 0.000
Cd: 0.750 0.750 0.750
Tl: 0.500 0.500 0.500
Ce: 0.250 0.250 0.250



CeTm4Cd5 | PBE | optimized geometry

Output
V (Å³ per cell): 257.6
Space group: P4/mmm, No. 123
VASP energy (eV per cell): -31.11
DOS at the Fermi energy (states/eV/cell): 14.20
Formation energy from the elements (eV/atom): -0.272

Cell: 3.683 3.683 18.989 Å, 90.00 90.00 90.00°
Positions (direct):
Cd: 0.500 0.500 0.305
Cd: 0.500 0.500 0.695
Cd: 0.500 0.500 0.500
Cd: 0.500 0.500 0.112
Cd: 0.500 0.500 0.888
Ce: 0.000 0.000 0.000
Tm: 0.000 0.000 0.403
Tm: 0.000 0.000 0.208
Tm: 0.000 0.000 0.597
Tm: 0.000 0.000 0.792



CeTm2Cd | PBE | optimized geometry

Output
V (Å³ per cell): 107.0
Energy relative to the lowest polymorph listed for this composition (meV/atom): 182
Space group: Fm-3m, No. 225
VASP energy (eV per cell): -15.49
DOS at the Fermi energy (states/eV/cell): 7.92
Formation energy from the elements (eV/atom): 0.077

Cell: 5.330 5.330 5.330 Å, 60.00 60.00 60.00°
Positions (direct):
Ce: 0.000 0.000 0.000
Tm: 0.750 0.750 0.750
Tm: 0.250 0.250 0.250
Cd: 0.500 0.500 0.500



CeTmCd | PBE | optimized geometry

Output
V (Å³ per cell): 76.7
Energy relative to the lowest polymorph listed for this composition (meV/atom): 201
Space group: P3m1, No. 156
VASP energy (eV per cell): -11.13
DOS at the Fermi energy (states/eV/cell): 6.30
Formation energy from the elements (eV/atom): 0.064

Cell: 3.055 5.383 5.383 Å, 120.00 90.00 90.00°
Positions (direct):
Ce: 0.165 0.000 0.000
Cd: 0.666 0.667 0.333
Tm: 0.169 0.333 0.667



CeTm3Cd4 | PBE | optimized geometry

Output
V (Å³ per cell): 416.6
Space group: Pmma, No. 51
VASP energy (eV per cell): -49.96
DOS at the Fermi energy (states/eV/cell): 29.01
Formation energy from the elements (eV/atom): -0.247

Cell: 5.232 7.608 10.464 Å, 90.00 90.00 90.00°
Positions (direct):
Ce: 0.000 0.500 0.000
Ce: 0.000 0.500 0.500
Cd: 0.500 0.761 0.500
Cd: 0.999 0.761 0.250
Cd: 0.500 0.761 0.000
Cd: 0.500 0.239 0.500
Cd: 0.001 0.239 0.750
Cd: 0.999 0.239 0.250
Cd: 0.001 0.761 0.750
Cd: 0.500 0.239 0.000
Tm: 0.501 0.500 0.750
Tm: 0.499 0.000 0.250
Tm: 0.000 0.000 0.000
Tm: 0.000 0.000 0.500
Tm: 0.499 0.500 0.250
Tm: 0.501 0.000 0.750



Ce2TmCd6 | PBE | optimized geometry

Output
V (Å³ per cell): 221.2
Space group: P6/mmm, No. 191
VASP energy (eV per cell): -24.17
DOS at the Fermi energy (states/eV/cell): 15.81
Formation energy from the elements (eV/atom): -0.260

Cell: 3.305 8.791 8.791 Å, 60.00 89.99 89.99°
Positions (direct):
Cd: 0.499 0.000 0.671
Cd: 0.501 0.000 0.329
Cd: 0.501 0.329 0.000
Cd: 0.499 0.671 0.000
Cd: 0.500 0.670 0.330
Cd: 0.500 0.330 0.670
Ce: 0.000 0.333 0.333
Ce: 0.000 0.667 0.667
Tm: 0.000 0.000 0.000



CeTmCd | PBE | optimized geometry

Output
V (Å³ per cell): 159.6
Energy relative to the lowest polymorph listed for this composition (meV/atom): 0
Space group: Cmcm, No. 63
VASP energy (eV per cell): -23.46
DOS at the Fermi energy (states/eV/cell): 11.28
Formation energy from the elements (eV/atom): -0.137

Cell: 3.422 5.295 8.970 Å, 90.00 101.00 90.00°
Positions (direct):
Tm: 0.092 0.250 0.185
Tm: 0.908 0.750 0.815
Cd: 0.438 0.250 0.877
Cd: 0.562 0.750 0.123
Ce: 0.771 0.250 0.543
Ce: 0.229 0.750 0.457



CeTm5Cd3 | PBE | optimized geometry

Output
V (Å³ per cell): 488.5
Space group: P6_3/mcm, No. 193
VASP energy (eV per cell): -64.57
DOS at the Fermi energy (states/eV/cell): 24.55
Formation energy from the elements (eV/atom): -0.139

Cell: 6.753 9.140 9.140 Å, 120.00 90.00 90.00°
Positions (direct):
Tm: 0.750 0.670 0.670
Tm: 0.000 0.333 0.667
Tm: 0.250 0.330 0.330
Tm: 0.750 0.330 0.000
Tm: 0.500 0.667 0.333
Tm: 0.000 0.667 0.333
Tm: 0.500 0.333 0.667
Tm: 0.250 0.670 0.000
Tm: 0.750 0.000 0.330
Tm: 0.250 0.000 0.670
Cd: 0.250 0.342 0.000
Cd: 0.250 0.659 0.659
Cd: 0.750 0.000 0.659
Cd: 0.750 0.341 0.341
Cd: 0.250 0.000 0.341
Cd: 0.750 0.658 0.000
Ce: 0.000 0.000 0.000
Ce: 0.500 0.000 0.000



CeTm5Cd6 | PBE | optimized geometry

Output
V (Å³ per cell): 309.0
Space group: Cmmm, No. 65
VASP energy (eV per cell): -36.99
DOS at the Fermi energy (states/eV/cell): 18.04
Formation energy from the elements (eV/atom): -0.267

Cell: 5.237 7.485 8.308 Å, 90.00 71.63 90.00°
Positions (direct):
Tm: 0.000 0.500 0.000
Tm: 0.332 0.000 0.335
Tm: 0.337 0.500 0.326
Tm: 0.663 0.500 0.674
Tm: 0.668 0.000 0.665
Cd: 0.829 0.742 0.341
Cd: 0.829 0.258 0.341
Cd: 0.171 0.742 0.659
Cd: 0.500 0.744 0.000
Cd: 0.171 0.258 0.659
Cd: 0.500 0.256 0.000
Ce: 0.000 0.000 0.000



Ce2TmCd | PBE | optimized geometry

Output
V (Å³ per cell): 111.4
Energy relative to the lowest polymorph listed for this composition (meV/atom): 0
Space group: P4/mmm, No. 123
VASP energy (eV per cell): -17.24
DOS at the Fermi energy (states/eV/cell): 10.56
Formation energy from the elements (eV/atom): 0.004

Cell: 3.300 3.300 10.235 Å, 90.00 90.00 90.00°
Positions (direct):
Ce: 0.000 0.000 0.238
Ce: 0.000 0.000 0.762
Tm: 0.500 0.500 0.500
Cd: 0.500 0.500 0.000



CeTm2Cd4 | PBE | optimized geometry

Output
V (Å³ per cell): 197.4
Space group: P4/mmm, No. 123
VASP energy (eV per cell): -18.95
DOS at the Fermi energy (states/eV/cell): 10.69
Formation energy from the elements (eV/atom): -0.059

Cell: 5.251 5.251 7.161 Å, 90.00 90.00 90.00°
Positions (direct):
Cd: 0.500 0.000 0.726
Cd: 0.500 0.000 0.274
Cd: 0.000 0.500 0.274
Cd: 0.000 0.500 0.726
Tm: 0.000 0.000 0.000
Tm: 0.500 0.500 0.500
Ce: 0.500 0.500 0.000



CeTm2Cd | PBE | optimized geometry

Output
V (Å³ per cell): 113.9
Energy relative to the lowest polymorph listed for this composition (meV/atom): 88
Space group: R3m, No. 160
VASP energy (eV per cell): -15.86
DOS at the Fermi energy (states/eV/cell): 7.49
Formation energy from the elements (eV/atom): -0.017

Cell: 3.492 3.492 10.978 Å, 80.85 80.85 60.00°
Positions (direct):
Tm: 0.256 0.256 0.232
Tm: 0.077 0.077 0.768
Ce: 0.500 0.500 0.500
Cd: 0.667 0.667 0.000